(1)
DFT (GGA-PBE) results for a geometry-optimized Ho5Mg2Sc4 structure.

energy	-0.3262	Ry per atom
formation energy from the elements	23	kJ/mol of atoms
space-group type	Immm (71)

CIF file:
```
data_Ho5Mg2Sc4
_cell_length_a 3.3347
_cell_length_b 8.5564
_cell_length_c 11.8480
_cell_angle_alpha 111.17
_cell_angle_beta 98.09
_cell_angle_gamma 90.00
_space_group_name_H-M_alt 'P 1'
_space_group_IT_number 1
_space_group_name_Hall 'P 1'
loop_
_atom_site_label
_atom_site_type_symbol
_atom_site_fract_x
_atom_site_fract_y
_atom_site_fract_z
Ho1 Ho 0.8550 0.0572 0.7100
Ho2 Ho 0.8550 0.6528 0.7100
Ho3 Ho 0.1450 0.3472 0.2900
Ho4 Ho 0.1450 0.9428 0.2900
Ho5 Ho 0.5000 0.0000 0.0000
Mg1 Mg 0.4053 0.4053 0.8106
Mg2 Mg 0.5947 0.5947 0.1894
Sc1 Sc 0.0000 0.3203 0.0000
Sc2 Sc 0.7297 0.7297 0.4594
Sc3 Sc 0.0000 0.6797 0.0000
Sc4 Sc 0.2703 0.2703 0.5406
```

=====

(2)
DFT (GGA-PBE) results for a geometry-optimized CePaTiSn structure.

energy	-0.5050	Ry per atom
formation energy from the elements	-4	kJ/mol of atoms
space-group type	F-43m (216)

CIF file:
```
data_CePaTiSn
_cell_length_a 5.0632
_cell_length_b 5.0632
_cell_length_c 5.0632
_cell_angle_alpha 60.00
_cell_angle_beta 60.00
_cell_angle_gamma 60.00
_space_group_name_H-M_alt 'P 1'
_space_group_IT_number 1
_space_group_name_Hall 'P 1'
loop_
_atom_site_label
_atom_site_type_symbol
_atom_site_fract_x
_atom_site_fract_y
_atom_site_fract_z
Pa1 Pa 0.0000 0.0000 0.0000
Sn1 Sn 0.5000 0.5000 0.5000
Ce1 Ce 0.7500 0.7500 0.7500
Ti1 Ti 0.2500 0.2500 0.2500
```

=====

(3)
DFT (GGA-PBE) results for a geometry-optimized PmNdPu2As4 structure.

energy	-0.6147	Ry per atom
formation energy from the elements	-122	kJ/mol of atoms
space-group type	P2/m (10)

CIF file:
```
data_PmNdPu2As4
_cell_length_a 4.1998
_cell_length_b 7.2434
_cell_length_c 7.2714
_cell_angle_alpha 70.44
_cell_angle_beta 90.00
_cell_angle_gamma 90.00
_space_group_name_H-M_alt 'P 1'
_space_group_IT_number 1
_space_group_name_Hall 'P 1'
loop_
_atom_site_label
_atom_site_type_symbol
_atom_site_fract_x
_atom_site_fract_y
_atom_site_fract_z
Pm1 Pm 0.0000 0.5000 0.5000
Nd1 Nd 0.5000 0.5000 0.0000
Pu1 Pu 0.0000 0.0000 0.0000
Pu2 Pu 0.5000 0.0000 0.5000
As1 As 0.0000 0.7619 0.7449
As2 As 0.0000 0.2381 0.2551
As3 As 0.5000 0.7611 0.2473
As4 As 0.5000 0.2389 0.7526
```

=====

(4)
DFT (GGA-PBE) results for a geometry-optimized AgHg2Br structure.

energy	-0.1006	Ry per atom
formation energy from raw total energies	-87	meV per atom
space-group type	Imm2 (44)
energy relative to the lowest polymorph listed for this composition	57	meV/atom

CIF file:
```
data_AgHg2Br
_cell_length_a 5.9991
_cell_length_b 5.9991
_cell_length_c 5.9991
_cell_angle_alpha 143.37
_cell_angle_beta 116.15
_cell_angle_gamma 75.93
_space_group_name_H-M_alt 'P 1'
_space_group_IT_number 1
_space_group_name_Hall 'P 1'
loop_
_atom_site_label
_atom_site_type_symbol
_atom_site_fract_x
_atom_site_fract_y
_atom_site_fract_z
Br1 Br 0.2886 0.7886 0.5000
Hg1 Hg 0.9892 0.9892 0.0000
Hg2 Hg 0.7255 0.2255 0.5000
Ag1 Ag 0.4966 0.4966 0.0000
```